# 1
YCrFe2: relaxed, GGA-PBE.

Calculated values
Polymorph energy (0 for the lowest one): 0.463 eV per atom

Geometry as CIF:
```
data_YCrFe2
_cell_length_a 8.2615
_cell_length_b 8.2615
_cell_length_c 8.2615
_cell_angle_alpha 148.16
_cell_angle_beta 148.16
_cell_angle_gamma 45.64
_space_group_name_H-M_alt 'P 1'
_space_group_IT_number 1
_space_group_name_Hall 'P 1'
loop_
_atom_site_label
_atom_site_type_symbol
_atom_site_fract_x
_atom_site_fract_y
_atom_site_fract_z
_atom_site_occupancy
Y1 Y 0.3750 0.6250 0.7500 1
Y2 Y 0.6250 0.3750 0.2500 1
Cr1 Cr 0.1250 0.8750 0.2500 1
Cr2 Cr 0.8750 0.1250 0.7500 1
Fe1 Fe 0.0000 0.0000 0.0000 1
Fe2 Fe 0.0000 0.0000 0.5000 1
Fe3 Fe 0.0000 0.5000 0.0000 1
Fe4 Fe 0.5000 0.0000 0.5000 1
```

=====

# 2
YCrFe4: relaxed, GGA-PBE.

Geometry as CIF:
```
data_YCrFe4
_cell_length_a 4.9115
_cell_length_b 4.9115
_cell_length_c 4.9115
_cell_angle_alpha 60.00
_cell_angle_beta 60.00
_cell_angle_gamma 60.00
_space_group_name_H-M_alt 'P 1'
_space_group_IT_number 1
_space_group_name_Hall 'P 1'
loop_
_atom_site_label
_atom_site_type_symbol
_atom_site_fract_x
_atom_site_fract_y
_atom_site_fract_z
_atom_site_occupancy
Y1 Y 0.0000 0.0000 0.0000 1
Cr1 Cr 0.2500 0.2500 0.2500 1
Fe1 Fe 0.1289 0.6237 0.6237 1
Fe2 Fe 0.6237 0.1289 0.6237 1
Fe3 Fe 0.6237 0.6237 0.1289 1
Fe4 Fe 0.6237 0.6237 0.6237 1
```

=====

# 3
YCrFe2: relaxed, GGA-PBE.

Calculated values
Polymorph energy (0 for the lowest one): 0.406 eV per atom

Geometry as CIF:
```
data_YCrFe2
_cell_length_a 5.0982
_cell_length_b 5.0982
_cell_length_c 5.0982
_cell_angle_alpha 134.31
_cell_angle_beta 134.31
_cell_angle_gamma 66.61
_space_group_name_H-M_alt 'P 1'
_space_group_IT_number 1
_space_group_name_Hall 'P 1'
loop_
_atom_site_label
_atom_site_type_symbol
_atom_site_fract_x
_atom_site_fract_y
_atom_site_fract_z
_atom_site_occupancy
Y1 Y 0.0000 0.0000 0.0000 1
Cr1 Cr 0.5000 0.5000 0.0000 1
Fe1 Fe 0.2500 0.7500 0.5000 1
Fe2 Fe 0.7500 0.2500 0.5000 1
```

=====

# 4
Y2Cr2Fe15: relaxed, GGA-PBE.

Geometry as CIF:
```
data_Y2Cr2Fe15
_cell_length_a 6.3475
_cell_length_b 6.3475
_cell_length_c 6.3475
_cell_angle_alpha 82.06
_cell_angle_beta 82.06
_cell_angle_gamma 82.06
_space_group_name_H-M_alt 'P 1'
_space_group_IT_number 1
_space_group_name_Hall 'P 1'
loop_
_atom_site_label
_atom_site_type_symbol
_atom_site_fract_x
_atom_site_fract_y
_atom_site_fract_z
_atom_site_occupancy
Y1 Y 0.1576 0.1576 0.1576 1
Y2 Y 0.8424 0.8424 0.8424 1
Cr1 Cr 0.4140 0.4140 0.4140 1
Cr2 Cr 0.5860 0.5860 0.5860 1
Fe1 Fe 0.0000 0.5000 0.5000 1
Fe2 Fe 0.1611 0.1611 0.6569 1
Fe3 Fe 0.1611 0.6569 0.1611 1
Fe4 Fe 0.1970 0.5000 0.8030 1
Fe5 Fe 0.1970 0.8030 0.5000 1
Fe6 Fe 0.3431 0.8389 0.8389 1
Fe7 Fe 0.5000 0.0000 0.5000 1
Fe8 Fe 0.5000 0.1970 0.8030 1
Fe9 Fe 0.5000 0.5000 0.0000 1
Fe10 Fe 0.5000 0.8030 0.1970 1
Fe11 Fe 0.6569 0.1611 0.1611 1
Fe12 Fe 0.8030 0.1970 0.5000 1
Fe13 Fe 0.8030 0.5000 0.1970 1
Fe14 Fe 0.8389 0.3431 0.8389 1
Fe15 Fe 0.8389 0.8389 0.3431 1
```

=====

# 5
YCrFe11: relaxed, GGA-PBE.

Geometry as CIF:
```
data_YCrFe11
_cell_length_a 6.4043
_cell_length_b 6.4043
_cell_length_c 6.4043
_cell_angle_alpha 137.22
_cell_angle_beta 98.33
_cell_angle_gamma 96.96
_space_group_name_H-M_alt 'P 1'
_space_group_IT_number 1
_space_group_name_Hall 'P 1'
loop_
_atom_site_label
_atom_site_type_symbol
_atom_site_fract_x
_atom_site_fract_y
_atom_site_fract_z
_atom_site_occupancy
Y1 Y 0.0000 0.0000 0.0000 1
Cr1 Cr 0.6291 0.6291 0.0000 1
Fe1 Fe 0.2170 0.4938 0.7232 1
Fe2 Fe 0.2244 0.7244 0.5000 1
Fe3 Fe 0.3513 0.9927 0.3586 1
Fe4 Fe 0.3608 0.3608 0.0000 1
Fe5 Fe 0.4964 0.4950 0.5017 1
Fe6 Fe 0.4964 0.9947 0.0014 1
Fe7 Fe 0.6341 0.9927 0.6414 1
Fe8 Fe 0.7638 0.2638 0.5000 1
Fe9 Fe 0.7707 0.4938 0.2768 1
Fe10 Fe 0.9933 0.4950 0.9986 1
Fe11 Fe 0.9933 0.9947 0.4983 1
```

=====

# 6
YCrFe2: relaxed, GGA-PBE.

Calculated values
Polymorph energy (0 for the lowest one): 0.482 eV per atom

Geometry as CIF:
```
data_YCrFe2
_cell_length_a 8.2134
_cell_length_b 8.2134
_cell_length_c 8.2134
_cell_angle_alpha 21.11
_cell_angle_beta 21.11
_cell_angle_gamma 21.11
_space_group_name_H-M_alt 'P 1'
_space_group_IT_number 1
_space_group_name_Hall 'P 1'
loop_
_atom_site_label
_atom_site_type_symbol
_atom_site_fract_x
_atom_site_fract_y
_atom_site_fract_z
_atom_site_occupancy
Y1 Y 0.0000 0.0000 0.0000 1
Cr1 Cr 0.5000 0.5000 0.5000 1
Fe1 Fe 0.2344 0.2344 0.2344 1
Fe2 Fe 0.7656 0.7656 0.7656 1
```

=====

| no. | calculated formation energy (eV/f.u.) | electronic total energy (eV/atom) |
| --- | --- | --- |
| 1 | 2.43 | -7.6466 |
| 2 | 1.16 | -8.1289 |
| 3 | 2.20 | -7.7040 |
| 4 | 0.14 | -8.3670 |
| 5 | -0.24 | -8.4164 |
| 6 | 2.50 | -7.6273 |